Computed, not measured: a relaxed Nd2SmTe3 crystal at the PBE-GGA level of DFT.

Geometry as POSCAR:
```
Nd2SmTe3
1.0
4.478 0.000 0.000
-2.239 3.878 0.000
0.000 0.000 10.993
Nd Sm Te
2 1 3
direct
0.333 0.667 0.167
0.667 0.333 0.833
0.000 0.000 0.500
0.000 0.000 0.000
0.333 0.667 0.663
0.667 0.333 0.337
```

## Properties
space group	P-3m1
volume	31.8	A^3/atom
E_tot	-5.356	eV per atom
total magnetic moment	0.0	μB per formula unit